PBE with a Hubbard U DyFe2SnO6, relaxed; symmetry = No. 1; crystal system = triclinic; density of states at the Fermi level = 0.0000 states/eV per atom; mass density = 6.80 g/cm3; energy = -68.2 eV per formula unit; V = 11.94 A^3/atom
1.0
-1.673 0.840 -4.985
2.438 -2.451 -4.071
-2.755 -4.297 -2.547
O Dy Fe Sn
6 1 2 1
direct
0.631 0.218 0.230 O
0.136 0.360 0.763 O
0.928 0.626 0.229 O
0.360 0.740 0.762 O
0.731 0.145 0.754 O
0.225 0.919 0.234 O
0.799 0.798 0.597 Dy
0.524 0.528 0.426 Fe
0.011 0.009 0.973 Fe
0.317 0.318 0.048 Sn